Rb3Na7Bi2 | PBE-GGA | relaxed

Results
As for the calculated volume: 47.4 Å³ per atom. For the final energy, the calculation gives -0.06677 hartree per atom. Its total moment is 0.000 μB/cell.

extended XYZ file:
```
12
Lattice="3.030 -15.494 0.000 3.030 15.494 0.000 0.000 0.000 6.056" Properties=species:S:1:pos:R:3 pbc="T T T"
Rb 0.000 0.000 0.000
Rb 3.030 9.916 0.000
Rb 3.030 -9.916 0.000
Na 3.030 12.761 3.028
Na 3.030 6.517 3.028
Na 3.030 2.714 0.000
Na 3.030 0.000 3.028
Na 3.030 -2.714 0.000
Na 3.030 -6.517 3.028
Na 3.030 -12.761 3.028
Bi 3.030 3.338 3.028
Bi 3.030 -3.338 3.028
```

---

CdCoBr2 | PBE-GGA | relaxed

Results
As for the calculated volume: 30.0 Å³ per atom. The energy relative to the elements, uncorrected comes out at 0.04 eV per atom. For the final energy, the calculation gives -0.10287 hartree per atom. Its total moment is 2.527 μB/cell.

extended XYZ file:
```
4
Lattice="1.755 -3.461 0.000 1.755 3.461 0.000 0.000 0.000 9.876" Properties=species:S:1:pos:R:3 pbc="T T T"
Cd 0.000 0.000 0.000
Co 0.000 0.000 4.938
Br 1.755 0.000 3.223
Br 1.755 0.000 6.653
```

---

CsBS3 | PBE-GGA | relaxed

Results
As for the calculated volume: 36.9 Å³ per atom. The energy relative to the elements, uncorrected comes out at 2.15 eV per atom. For the final energy, the calculation gives -0.06741 hartree per atom. Its total moment is 1.693 μB/cell.

extended XYZ file:
```
5
Lattice="5.692 0.000 0.000 0.000 5.692 0.000 0.000 0.000 5.692" Properties=species:S:1:pos:R:3 pbc="T T T"
Cs 0.000 0.000 0.000
B 2.846 2.846 2.846
S 0.000 0.000 2.846
S 0.000 2.846 0.000
S 2.846 0.000 0.000
```

---

AgRh | PBE-GGA | relaxed

Results
As for the calculated volume: 18.2 Å³ per atom. For the final energy, the calculation gives -0.17132 hartree per atom. Its total moment is 0.404 μB/cell.

extended XYZ file:
```
6
Lattice="2.755 0.000 0.000 0.000 5.898 3.369 0.000 -5.898 3.369" Properties=species:S:1:pos:R:3 pbc="T T T"
Ag 0.000 0.000 0.000
Ag 0.000 -2.915 2.799
Ag 0.000 2.915 2.799
Rh 0.000 0.000 2.682
Rh 1.377 -1.259 4.520
Rh 1.377 1.259 4.520
```